(1)
Np2GeN | PBE | optimized geometry

POSCAR file:
```
Np2GeN
1.0
1.5680 0.9053 8.1705
-1.5680 0.9053 8.1705
0.0000 -1.8106 8.1705
Np Ge N
2 1 1
direct
0.2288 0.2288 0.2288 Np
0.7712 0.7712 0.7712 Np
0.0000 0.0000 0.0000 Ge
0.5000 0.5000 0.5000 N
```

## Properties
Formation energy without anion corrections = -0.436 eV/atom
Volume = 70 Å³ per cell

=====

(2)
Tb2NpGeN5 | PBE | optimized geometry

POSCAR file:
```
Tb2NpGeN5
1.0
1.6657 -7.0151 0.0000
1.6657 7.0151 0.0000
0.0000 0.0000 10.2148
Tb Np Ge N
4 2 2 10
direct
0.1120 0.8880 0.5000 Tb
0.1283 0.8717 0.0906 Tb
0.8717 0.1283 0.5906 Tb
0.8880 0.1120 0.0000 Tb
0.2138 0.7862 0.8052 Np
0.7862 0.2138 0.3052 Np
0.4941 0.5059 0.2715 Ge
0.5059 0.4941 0.7715 Ge
0.0498 0.9502 0.8496 N
0.2869 0.7131 0.4466 N
0.3002 0.6998 0.1668 N
0.3727 0.6273 0.8109 N
0.4981 0.5019 0.5889 N
0.5019 0.4981 0.0889 N
0.6273 0.3727 0.3109 N
0.6998 0.3002 0.6668 N
0.7131 0.2869 0.9466 N
0.9502 0.0498 0.3496 N
```

## Properties
Formation energy without anion corrections = -1.006 eV/atom
Volume = 239 Å³ per cell

=====

(3)
Ge2NO | PBE | optimized geometry

POSCAR file:
```
Ge2NO
1.0
0.0000 2.8604 2.8604
2.8604 0.0000 2.8604
2.8604 2.8604 0.0000
Ge N O
2 1 1
direct
0.2500 0.2500 0.2500 Ge
0.7500 0.7500 0.7500 Ge
0.0000 0.0000 0.0000 N
0.5000 0.5000 0.5000 O
```

## Properties
Formation energy without anion corrections = 0.547 eV/atom
Energy relative to the lowest polymorph listed for this composition = 481 meV/atom
Volume = 47 Å³ per cell

=====

(4)
GeN2O2 | PBE | optimized geometry

POSCAR file:
```
GeN2O2
1.0
3.8695 0.0000 0.0000
0.0000 3.8695 0.0000
0.0000 0.0000 3.8351
Ge N O
1 2 2
direct
0.0000 0.0000 0.0000 Ge
0.0000 0.5000 0.0000 N
0.5000 0.0000 0.0000 N
0.0000 0.0000 0.5000 O
0.5000 0.5000 0.5000 O
```

## Properties
Formation energy without anion corrections = 1.563 eV/atom
Energy relative to the lowest polymorph listed for this composition = 2397 meV/atom
Volume = 57 Å³ per cell

=====

(5)
Ge2NO | PBE | optimized geometry

POSCAR file:
```
Ge2NO
1.0
-2.7703 2.7703 3.6577
2.7703 -2.7703 3.6577
2.7703 2.7703 -3.6577
Ge N O
4 2 2
direct
0.1086 0.6250 0.9836 Ge
0.3750 0.3586 0.4836 Ge
0.6414 0.1250 0.0164 Ge
0.8750 0.8914 0.5164 Ge
0.0000 0.0000 0.0000 N
0.7500 0.2500 0.5000 N
0.2500 0.7500 0.5000 O
0.5000 0.5000 0.0000 O
```

## Properties
Formation energy without anion corrections = 0.066 eV/atom
Energy relative to the lowest polymorph listed for this composition = 0 meV/atom
Volume = 112 Å³ per cell

=====

(6)
GeN3O | PBE | optimized geometry

POSCAR file:
```
GeN3O
1.0
3.5285 0.0000 0.0000
0.0000 3.5285 0.0000
0.0000 0.0000 3.5285
Ge N O
1 3 1
direct
0.0000 0.0000 0.0000 Ge
0.0000 0.5000 0.5000 N
0.5000 0.0000 0.5000 N
0.5000 0.5000 0.0000 N
0.5000 0.5000 0.5000 O
```

## Properties
Formation energy without anion corrections = 2.533 eV/atom
Volume = 44 Å³ per cell

=====

(7)
Ge3NO | PBE | optimized geometry

POSCAR file:
```
Ge3NO
1.0
4.3716 0.0000 0.0000
0.0000 4.3716 0.0000
0.0000 0.0000 4.3716
Ge N O
3 1 1
direct
0.0000 0.0000 0.5000 Ge
0.0000 0.5000 0.0000 Ge
0.5000 0.0000 0.0000 Ge
0.0000 0.0000 0.0000 N
0.5000 0.5000 0.5000 O
```

## Properties
Formation energy without anion corrections = 0.851 eV/atom
Energy relative to the lowest polymorph listed for this composition = 0 meV/atom
Volume = 84 Å³ per cell

=====

(8)
Ge11N11O5 | PBE | optimized geometry

POSCAR file:
```
Ge11N11O5
1.0
5.1360 -2.9451 0.0000
5.1360 2.9451 0.0000
-3.4142 0.0000 9.6511
Ge N O
11 11 5
direct
0.0000 0.0000 0.0000 Ge
0.1858 0.1858 0.5613 Ge
0.2376 0.7498 0.2453 Ge
0.2457 0.2457 0.2506 Ge
0.2494 0.7504 0.7492 Ge
0.3127 0.3127 0.9385 Ge
0.4928 0.4928 0.5009 Ge
0.7498 0.2376 0.2453 Ge
0.7504 0.2494 0.7492 Ge
0.7498 0.7498 0.7458 Ge
0.8178 0.8178 0.4371 Ge
0.1133 0.1133 0.8740 N
0.1127 0.6476 0.8730 N
0.1195 0.1195 0.3640 N
0.1476 0.6118 0.3670 N
0.3776 0.3776 0.1372 N
0.3843 0.3843 0.6276 N
0.3871 0.8533 0.6252 N
0.6118 0.1476 0.3670 N
0.6476 0.1127 0.8730 N
0.8533 0.3871 0.6252 N
0.8826 0.8826 0.6387 N
0.3337 0.8954 0.1351 O
0.6083 0.6083 0.3629 O
0.6152 0.6152 0.8440 O
0.8954 0.3337 0.1351 O
0.8946 0.8946 0.1313 O
```

## Properties
Formation energy without anion corrections = -0.358 eV/atom
Energy relative to the lowest polymorph listed for this composition = 1 meV/atom
Volume = 292 Å³ per cell